w:
The following is a DFT calculation (PBE) of a relaxed structure of Mg2InAg4.

Values from the calculation:
- symmetry = I4/mmm, No. 139
- magnetic moment (μB per atom) = 0.00

Unit cell a=5.142 b=5.142 c=7.895 alpha=70.99 beta=70.99 gamma=90.00
Atoms (fractional coordinates):
Mg: 0.389 0.389 0.223
Mg: 0.611 0.611 0.777
Ag: 0.500 0.000 0.000
Ag: 0.198 0.198 0.603
Ag: 0.802 0.802 0.397
Ag: 0.000 0.500 0.000
In: 0.000 0.000 0.000

***

x:
The following is a DFT calculation (PBE) of a relaxed structure of Mg2InAg4.

Values from the calculation:
- symmetry = P1, No. 1
- magnetic moment (μB per atom) = 0.00

Unit cell a=7.274 b=7.150 c=9.086 alpha=128.83 beta=89.74 gamma=120.43
Atoms (fractional coordinates):
Mg: 0.733 0.984 0.240
Mg: 0.650 0.471 0.308
Mg: 0.019 0.314 0.716
Mg: 0.478 0.370 0.696
Ag: 0.977 0.374 0.185
Ag: 0.286 0.880 0.221
Ag: 0.236 0.355 0.451
Ag: 0.084 0.723 0.615
Ag: 0.774 0.881 0.733
Ag: 0.724 0.401 0.962
Ag: 0.312 0.373 0.990
Ag: 0.452 0.879 0.917
In: 0.042 0.896 0.989
In: 0.483 0.851 0.479

***

y:
The following is a DFT calculation (PBE) of a relaxed structure of Mg2InAg4.

Values from the calculation:
- symmetry = P2_1/c, No. 14
- magnetic moment (μB per atom) = 0.00

Unit cell a=10.004 b=5.663 c=5.771 alpha=119.56 beta=90.00 gamma=90.00
Atoms (fractional coordinates):
Ag: 0.783 0.599 0.009
Ag: 0.754 0.567 0.508
Ag: 0.217 0.401 0.991
Ag: 0.717 0.099 0.009
Ag: 0.246 0.433 0.492
Ag: 0.283 0.901 0.991
Ag: 0.746 0.067 0.508
Ag: 0.254 0.933 0.492
In: 0.000 0.000 0.000
In: 0.500 0.500 0.000
Mg: 0.502 0.829 0.657
Mg: 0.002 0.671 0.343
Mg: 0.498 0.171 0.343
Mg: 0.998 0.329 0.657

***

Which structure wins on stability? x wins.

***

w:
The following is a DFT calculation (PBE) of a relaxed structure of Mg3In2Ag2.

Values from the calculation:
- symmetry = Immm, No. 71
- magnetic moment (μB per atom) = 0.00

Unit cell a=4.522 b=3.159 c=10.919 alpha=98.32 beta=101.95 gamma=90.00
Atoms (fractional coordinates):
Mg: 0.293 0.793 0.586
Mg: 0.000 0.000 0.000
Mg: 0.707 0.207 0.414
In: 0.574 0.574 0.147
In: 0.426 0.426 0.853
Ag: 0.159 0.659 0.318
Ag: 0.841 0.341 0.682

***

x:
The following is a DFT calculation (PBE) of a relaxed structure of Mg3In2Ag2.

Values from the calculation:
- symmetry = Cmmm, No. 65
- magnetic moment (μB per atom) = 0.00

Unit cell a=3.371 b=3.260 c=13.674 alpha=90.00 beta=82.92 gamma=90.00
Atoms (fractional coordinates):
Ag: 0.561 0.500 0.878
Ag: 0.439 0.500 0.122
In: 0.299 0.500 0.403
In: 0.701 0.500 0.597
Mg: 0.000 0.000 0.000
Mg: 0.877 0.000 0.247
Mg: 0.123 0.000 0.753

***

Which structure wins on stability? x wins.

***

w:
The following is a DFT calculation (PBE) of a relaxed structure of Mg2In2Ag7.

Values from the calculation:
- symmetry = C2/m, No. 12
- magnetic moment (μB per atom) = 0.00

Unit cell a=5.149 b=6.867 c=6.867 alpha=90.01 beta=108.15 gamma=108.15
Atoms (fractional coordinates):
Ag: 0.669 0.927 0.414
Ag: 0.669 0.414 0.927
Ag: 0.331 0.586 0.073
Ag: 0.674 0.408 0.408
Ag: 0.326 0.592 0.592
Ag: 0.500 0.000 0.000
Ag: 0.331 0.073 0.586
Mg: 0.051 0.258 0.258
Mg: 0.949 0.742 0.742
In: 0.000 0.772 0.228
In: 0.000 0.228 0.772

***

x:
The following is a DFT calculation (PBE) of a relaxed structure of Mg2In2Ag7.

Values from the calculation:
- symmetry = Imm2, No. 44
- magnetic moment (μB per atom) = 0.00

Unit cell a=4.714 b=7.499 c=7.498 alpha=120.00 beta=108.32 gamma=90.00
Atoms (fractional coordinates):
Ag: 0.500 0.920 0.000
Ag: 0.642 0.758 0.284
Ag: 0.864 0.799 0.729
Ag: 0.865 0.187 0.731
Ag: 0.136 0.070 0.271
Ag: 0.135 0.456 0.269
Ag: 0.358 0.474 0.716
Mg: 0.000 0.631 0.000
Mg: 0.500 0.314 0.000
In: 0.283 0.905 0.566
In: 0.717 0.339 0.434

***

Which structure wins on stability? x wins.

***

w:
The following is a DFT calculation (PBE) of a relaxed structure of MgInAg4.

Values from the calculation:
- symmetry = Pm, No. 6
- magnetic moment (μB per atom) = 0.00

Unit cell a=3.221 b=4.786 c=7.555 alpha=90.01 beta=76.58 gamma=90.01
Atoms (fractional coordinates):
Ag: 0.979 0.497 0.294
Ag: 0.192 0.997 0.870
Ag: 0.521 0.997 0.213
Ag: 0.314 0.498 0.617
In: 0.645 0.497 0.955
Mg: 0.857 0.998 0.540

***

x:
The following is a DFT calculation (PBE) of a relaxed structure of MgInAg4.

Values from the calculation:
- symmetry = F-43m, No. 216
- magnetic moment (μB per atom) = 0.00

Unit cell a=5.552 b=5.552 c=5.552 alpha=60.00 beta=60.00 gamma=60.00
Atoms (fractional coordinates):
Ag: 0.375 0.375 0.375
Ag: 0.375 0.876 0.375
Ag: 0.876 0.375 0.375
Ag: 0.375 0.375 0.876
Mg: 0.000 0.000 0.000
In: 0.750 0.750 0.750

***

Which structure wins on stability? w wins.

***

w:
The following is a DFT calculation (PBE) of a relaxed structure of MgIn2Ag6.

Values from the calculation:
- symmetry = C2/c, No. 15
- magnetic moment (μB per atom) = 0.00

Unit cell a=5.086 b=8.475 c=8.475 alpha=72.73 beta=83.94 gamma=83.94
Atoms (fractional coordinates):
Ag: 0.861 0.656 0.903
Ag: 0.139 0.344 0.097
Ag: 0.473 0.683 0.425
Ag: 0.301 0.772 0.012
Ag: 0.801 0.012 0.772
Ag: 0.699 0.228 0.988
Ag: 0.361 0.903 0.656
Ag: 0.639 0.097 0.344
Ag: 0.027 0.575 0.317
Ag: 0.527 0.317 0.575
Ag: 0.199 0.988 0.228
Ag: 0.973 0.425 0.683
In: 0.416 0.537 0.794
In: 0.084 0.206 0.463
In: 0.916 0.794 0.537
In: 0.584 0.463 0.206
Mg: 0.750 0.876 0.124
Mg: 0.250 0.124 0.876

***

x:
The following is a DFT calculation (PBE) of a relaxed structure of MgIn2Ag6.

Values from the calculation:
- symmetry = P4_2/mnm, No. 136
- magnetic moment (μB per atom) = 0.00

Unit cell a=4.313 b=8.902 c=8.901 alpha=90.00 beta=89.99 gamma=90.00
Atoms (fractional coordinates):
Ag: 0.500 0.834 0.007
Ag: 0.500 0.156 0.655
Ag: 0.000 0.344 0.155
Ag: 0.000 0.334 0.493
Ag: 0.000 0.656 0.845
Ag: 0.000 0.007 0.166
Ag: 0.500 0.166 0.993
Ag: 0.000 0.666 0.507
Ag: 0.500 0.507 0.334
Ag: 0.000 0.993 0.834
Ag: 0.500 0.844 0.345
Ag: 0.500 0.493 0.666
Mg: 0.500 0.500 0.000
Mg: 0.000 0.000 0.500
In: 0.500 0.179 0.320
In: 0.000 0.321 0.820
In: 0.500 0.821 0.680
In: 0.000 0.679 0.180

***

Which structure wins on stability? x wins.

***

w:
The following is a DFT calculation (PBE) of a relaxed structure of MgIn3Ag6.

Values from the calculation:
- symmetry = Cmc2_1, No. 36
- magnetic moment (μB per atom) = 0.00

Unit cell a=8.320 b=7.092 c=7.092 alpha=94.26 beta=90.00 gamma=90.00
Atoms (fractional coordinates):
Ag: 0.758 0.877 0.607
Ag: 0.187 0.998 0.002
Ag: 0.687 0.002 0.998
Ag: 0.095 0.854 0.625
Ag: 0.245 0.725 0.275
Ag: 0.745 0.275 0.725
Ag: 0.095 0.375 0.146
Ag: 0.758 0.393 0.123
Ag: 0.595 0.625 0.854
Ag: 0.258 0.607 0.877
Ag: 0.595 0.146 0.375
Ag: 0.258 0.123 0.393
In: 0.401 0.480 0.520
In: 0.429 0.306 0.044
In: 0.429 0.956 0.694
In: 0.929 0.044 0.306
In: 0.901 0.520 0.480
In: 0.929 0.694 0.956
Mg: 0.587 0.738 0.262
Mg: 0.087 0.262 0.738

***

x:
The following is a DFT calculation (PBE) of a relaxed structure of MgIn3Ag6.

Values from the calculation:
- symmetry = R3m, No. 160
- magnetic moment (μB per atom) = 0.00

Unit cell a=2.916 b=10.197 c=10.197 alpha=119.10 beta=95.47 gamma=95.47
Atoms (fractional coordinates):
Ag: 0.406 0.245 0.000
Ag: 0.917 0.270 0.270
Ag: 0.406 0.000 0.245
Ag: 0.161 0.755 0.755
Ag: 0.647 0.000 0.730
Ag: 0.647 0.730 0.000
Mg: 0.886 0.000 0.000
In: 0.026 0.000 0.488
In: 0.539 0.512 0.512
In: 0.026 0.488 0.000

***

Which structure wins on stability? w wins.

***

w:
The following is a DFT calculation (PBE) of a relaxed structure of MgZrInAg.

Values from the calculation:
- symmetry = F-43m, No. 216
- magnetic moment (μB per atom) = 0.00

Unit cell a=4.901 b=4.901 c=4.901 alpha=60.00 beta=60.00 gamma=60.00
Atoms (fractional coordinates):
In: 0.750 0.750 0.750
Zr: 0.500 0.500 0.500
Mg: 0.000 0.000 0.000
Ag: 0.250 0.250 0.250

***

x:
The following is a DFT calculation (PBE) of a relaxed structure of MgZrInAg.

Values from the calculation:
- symmetry = Pmmm, No. 47
- magnetic moment (μB per atom) = 0.00

Unit cell a=4.160 b=4.302 c=4.671 alpha=90.00 beta=90.00 gamma=90.00
Atoms (fractional coordinates):
Zr: 0.500 0.000 0.500
Mg: 0.500 0.500 0.000
In: 0.000 0.500 0.500
Ag: 0.000 0.000 0.000

***

Which structure wins on stability? x wins.

***

w:
The following is a DFT calculation (PBE) of a relaxed structure of MnIn3Ag.

Values from the calculation:
- symmetry = Pm-3m, No. 221
- magnetic moment (μB per atom) = 0.91

Unit cell a=5.290 b=5.290 c=5.290 alpha=90.00 beta=90.00 gamma=90.00
Site moments in Bohr magnetons follow the coordinates.
Atoms (fractional coordinates):
In: 0.000 0.000 0.500  -0.01
In: 0.000 0.500 0.000  -0.03
In: 0.500 0.000 0.000  -0.02
Mn: 0.500 0.500 0.500  4.37
Ag: 0.000 0.000 0.000  -0.01

***

x:
The following is a DFT calculation (PBE) of a relaxed structure of MnIn3Ag.

Values from the calculation:
- symmetry = Pm-3m, No. 221
- magnetic moment (μB per atom) = 0.43

Unit cell a=5.070 b=5.070 c=5.070 alpha=90.00 beta=90.00 gamma=90.00
Site moments in Bohr magnetons follow the coordinates.
Atoms (fractional coordinates):
In: 0.000 0.500 0.000  -0.06
In: 0.000 0.000 0.500  -0.02
In: 0.500 0.000 0.000  -0.09
Mn: 0.000 0.000 0.000  2.30
Ag: 0.500 0.500 0.500  0.03

***

Which structure wins on stability? x wins.

***

w:
The following is a DFT calculation (PBE) of a relaxed structure of InAgMo.

Values from the calculation:
- symmetry = I4mm, No. 107
- magnetic moment (μB per atom) = 0.00

Unit cell a=6.938 b=6.938 c=6.938 alpha=156.13 beta=156.13 gamma=34.01
Atoms (fractional coordinates):
In: 0.330 0.330 0.000
Ag: 0.005 0.005 0.000
Mo: 0.665 0.665 0.000

***

x:
The following is a DFT calculation (PBE) of a relaxed structure of InAgMo.

Values from the calculation:
- symmetry = P3m1, No. 156
- magnetic moment (μB per atom) = 0.00

Unit cell a=2.958 b=2.958 c=7.283 alpha=90.00 beta=90.00 gamma=120.00
Atoms (fractional coordinates):
In: 0.667 0.333 0.338
Ag: 0.000 0.000 0.993
Mo: 0.333 0.667 0.669

***

y:
The following is a DFT calculation (PBE) of a relaxed structure of InAgMo.

Values from the calculation:
- symmetry = F-43m, No. 216
- magnetic moment (μB per atom) = 0.66

Unit cell a=4.492 b=4.492 c=4.492 alpha=60.00 beta=60.00 gamma=60.00
Site moments in Bohr magnetons follow the coordinates.
Atoms (fractional coordinates):
In: 0.000 0.000 0.000  -0.09
Ag: 0.750 0.750 0.750  0.06
Mo: 0.500 0.500 0.500  1.87

***

Which structure wins on stability? w wins.

***

w:
The following is a DFT calculation (PBE) of a relaxed structure of InAgN.

Values from the calculation:
- symmetry = I4/mmm, No. 139
- magnetic moment (μB per atom) = 0.00

Unit cell a=3.153 b=3.153 c=11.481 alpha=97.89 beta=97.89 gamma=90.00
Atoms (fractional coordinates):
N: 0.402 0.402 0.803
N: 0.598 0.598 0.197
Ag: 0.709 0.709 0.419
Ag: 0.291 0.291 0.581
In: 0.102 0.102 0.204
In: 0.898 0.898 0.796

***

x:
The following is a DFT calculation (PBE) of a relaxed structure of InAgN.

Values from the calculation:
- symmetry = C2/m, No. 12
- magnetic moment (μB per atom) = 0.00

Unit cell a=4.491 b=3.186 c=15.231 alpha=81.94 beta=81.52 gamma=45.19
Atoms (fractional coordinates):
In: 0.314 0.072 0.300
In: 0.686 0.928 0.700
Ag: 0.230 0.979 0.560
Ag: 0.770 0.021 0.440
N: 0.020 0.997 0.963
N: 0.980 0.003 0.037

***

Which structure wins on stability? x wins.

***

w:
The following is a DFT calculation (PBE) of a relaxed structure of In3AgN.

Values from the calculation:
- symmetry = Pm-3m, No. 221
- magnetic moment (μB per atom) = 0.00

Unit cell a=5.239 b=5.239 c=5.239 alpha=90.00 beta=90.00 gamma=90.00
Atoms (fractional coordinates):
Ag: 0.000 0.000 0.000
In: 0.000 0.000 0.500
In: 0.500 0.000 0.000
In: 0.000 0.500 0.000
N: 0.500 0.500 0.500

***

x:
The following is a DFT calculation (PBE) of a relaxed structure of In3AgN.

Values from the calculation:
- symmetry = Pm-3m, No. 221
- magnetic moment (μB per atom) = 0.00

Unit cell a=4.756 b=4.756 c=4.756 alpha=90.00 beta=90.00 gamma=90.00
Atoms (fractional coordinates):
Ag: 0.500 0.500 0.500
N: 0.000 0.000 0.000
In: 0.000 0.000 0.500
In: 0.000 0.500 0.000
In: 0.500 0.000 0.000

***

Which structure wins on stability? x wins.